# Ca2FeIrO6 PBE+U relaxed
# - Energy: -6.70 eV/atom
# - Volume: 11.8 Å³ per atom
# - Space group: P2_1/c, No. 14
data_Ca2FeIrO6
_chemical_formula_sum 'Ca4 Fe2 Ir2 O12'
_cell_length_a 5.431
_cell_length_b 5.586
_cell_length_c 7.753
_cell_angle_alpha 90.00
_cell_angle_beta 89.94
_cell_angle_gamma 90.00
_space_group_name_H-M_alt 'P 1'
_space_group_IT_number 1
loop_
_space_group_symop_operation_xyz
'x,y,z'
loop_
_atom_site_label
_atom_site_type_symbol
_atom_site_fract_x
_atom_site_fract_y
_atom_site_fract_z
Ca1 Ca 0.013 0.946 0.249
Ca2 Ca 0.487 0.446 0.251
Ca3 Ca 0.513 0.554 0.749
Ca4 Ca 0.987 0.054 0.751
Fe1 Fe 0.000 0.500 0.000
Fe2 Fe 0.500 0.000 0.500
Ir1 Ir 0.000 0.500 0.500
Ir2 Ir 0.500 0.000 0.000
O1 O 0.090 0.474 0.748
O2 O 0.410 0.974 0.752
O3 O 0.590 0.026 0.248
O4 O 0.910 0.526 0.252
O5 O 0.205 0.202 0.046
O6 O 0.295 0.702 0.454
O7 O 0.705 0.298 0.546
O8 O 0.795 0.798 0.954
O9 O 0.198 0.207 0.452
O10 O 0.302 0.707 0.048
O11 O 0.698 0.293 0.952
O12 O 0.802 0.793 0.548